Below is a relaxed YbAu2 crystal, with properties calculated at the GGA-PBE level.

a = 3.7557 Å, b = 3.7557 Å, c = 9.2118 Å
α = 90.00°, β = 90.00°, γ = 90.00°
With the nearest neighbours (Å) after each atom.
Space group I4/mmm (No. 139)
Asymmetric unit:
Yb  0.0000  0.0000  0.0000 [2 per cell]  10 Au 3.07
Au  0.0000  0.0000  0.3335 [4 per cell]  5 Yb 3.07, 5 Au 3.07

***

Below is a relaxed PmCdAu2 crystal, with properties calculated at the GGA-PBE level.

a = 4.8072 Å, b = 4.8072 Å, c = 3.9566 Å
α = 90.00°, β = 90.00°, γ = 90.00°
With the nearest neighbours (Å) after each atom.
Space group P4/mmm (No. 123)
Asymmetric unit:
Pm  0.0000  0.0000  0.0000 [1 per cell]  8 Au 3.11, 4 Cd 3.40
Cd  0.5000  0.5000  0.0000 [1 per cell]  8 Au 3.11, 4 Pm 3.40
Au  0.0000  0.5000  0.5000 [2 per cell]  4 Cd 3.11, 4 Pm 3.11, 4 Au 3.40

***

Sequential electronic total energy output: -3.43, -3.56 eV per atom